# Tm6Cu5Pd

An optimized crystal structure of Tm6Cu5Pd (PBE, the Alexandria database).

Cell and atoms, written as POSCAR:
```
Tm6Cu5Pd
1.0
2.422 -7.289 0.000
2.422 7.289 0.000
0.000 0.000 6.844
Tm Cu Pd
6 5 1
Direct
0.000 0.000 0.249
0.000 0.000 0.751
0.333 0.667 0.249
0.333 0.667 0.751
0.667 0.333 0.249
0.667 0.333 0.751
0.166 0.834 0.000
0.169 0.831 0.500
0.500 0.500 0.000
0.831 0.169 0.500
0.834 0.166 0.000
0.500 0.500 0.500
```

The value obtained for the density of states at the Fermi level is 5.1 states/eV/cell. The formation energy is -4.856 eV/f.u. For the volume, the calculation gives 20.13 Å³ per atom.